1.
Material: K2TaCr2S6
Method: DFT, PBE
State: relaxed

As for the uncorrected formation energy: -0.968 eV per atom. For the density of states at the Fermi level, the calculation gives 6.65 states/eV per cell. Its total DFT energy (no corrections) is -6.25 eV/atom.

It has space group C2/m (No. 12), with a = 6.051 Å, b = 10.514 Å, c = 7.801 Å, α = 90.00°, β = 104.59° and γ = 90.00°. Symmetry generates all atoms from K at (0.000, 0.164, 0.000), Ta at (0.000, 0.000, 0.500), Cr at (0.000, 0.333, 0.500), S at (0.215, 0.500, 0.683) and S at (0.231, 0.170, 0.682).


2.
Material: K3TaCr2S6
Method: DFT, PBE
State: relaxed

As for the uncorrected formation energy: -0.918 eV per atom. For the density of states at the Fermi level, the calculation gives 11.29 states/eV per cell. Its total DFT energy (no corrections) is -5.85 eV/atom.

It has space group C2/m (No. 12), with a = 6.283 Å, b = 10.875 Å, c = 7.523 Å, α = 90.00°, β = 106.17° and γ = 90.00°. Symmetry generates all atoms from K at (0.000, 0.000, 0.000), K at (0.000, 0.336, 0.000), Ta at (0.000, 0.500, 0.500), Cr at (0.000, 0.167, 0.500), S at (0.217, 0.000, 0.683) and S at (0.233, 0.328, 0.683).


3.
Material: K2TbCrS4
Method: DFT, PBE
State: relaxed

As for the uncorrected formation energy: -1.343 eV per atom. Its total DFT energy (no corrections) is -5.46 eV/atom.

It has space group P2/m (No. 10), with a = 6.660 Å, b = 3.886 Å, c = 7.647 Å, α = 90.00°, β = 107.24° and γ = 90.00°. Symmetry generates all atoms from K at (0.000, 0.000, 0.000), K at (0.500, 0.500, 0.000), Tb at (0.000, 0.500, 0.500), Cr at (0.500, 0.000, 0.500), S at (0.257, 0.000, 0.697) and S at (0.297, 0.500, 0.317).